Crystalline BaMg2NiAu at its relaxed geometry, computed with PBE.

Values from the calculation:
- Formation energy: -17.82 kJ/mol of atoms
- Spin magnetization: 0.00 μB per cell

Unit cell a=4.8925 b=4.8925 c=5.2622 alpha=90.00 beta=90.00 gamma=90.00
With the nearest neighbours (Å) after each atom.
Space group P4/mmm (No. 123)
Asymmetric unit:
Ba 0.0000 0.0000 0.0000  4 Au 3.46, 8 Mg 3.59
Mg 0.0000 0.5000 0.5000  2 Ni 2.45
Ni 0.5000 0.5000 0.5000  4 Mg 2.45, 2 Au 2.63
Au 0.5000 0.5000 0.0000  2 Ni 2.63